--- P ---
Material: LaHgTe
Method: DFT, GGA-PBE
State: relaxed

Cell: 9.033 9.033 9.033 Å, 33.35 33.35 33.35°
Fractional coordinates of all 6 atoms:
La 0.080 0.080 0.080
La 0.920 0.920 0.920
Hg 0.337 0.337 0.337
Hg 0.663 0.663 0.663
Te 0.212 0.212 0.212
Te 0.788 0.788 0.788

--- Q ---
Material: LaHgTe
Method: DFT, GGA-PBE
State: relaxed

Cell: 4.494 4.494 5.990 Å, 90.00 90.00 120.00°
Fractional coordinates of all 3 atoms:
La 0.000 0.000 0.000
Hg 0.333 0.667 0.662
Te 0.667 0.333 0.309

The structure with the most favorable energy is P; the runner-up is 0.262 eV/atom above it.

--- P ---
Material: La2HgTe
Method: DFT, GGA-PBE
State: relaxed

Cell: 5.543 5.543 5.543 Å, 60.00 60.00 60.00°
Fractional coordinates of all 4 atoms:
La 0.250 0.250 0.250
La 0.750 0.750 0.750
Hg 0.000 0.000 0.000
Te 0.500 0.500 0.500

--- Q ---
Material: La2HgTe
Method: DFT, GGA-PBE
State: relaxed

Cell: 12.830 12.830 4.779 Å, 90.00 90.00 160.47°
Fractional coordinates of all 8 atoms:
La 0.065 0.935 0.750
La 0.319 0.681 0.750
La 0.681 0.319 0.250
La 0.935 0.065 0.250
Hg 0.456 0.544 0.750
Hg 0.544 0.456 0.250
Te 0.192 0.808 0.750
Te 0.808 0.192 0.250

The structure with the most favorable energy is Q; the runner-up is 0.183 eV/atom above it.

--- P ---
Material: La2Hg2Te
Method: DFT, GGA-PBE
State: relaxed

Cell: 8.608 8.608 4.135 Å, 90.00 90.00 90.00°
Fractional coordinates of all 10 atoms:
La 0.176 0.324 0.000
La 0.324 0.824 0.000
La 0.676 0.176 0.000
La 0.824 0.676 0.000
Hg 0.123 0.623 0.500
Hg 0.377 0.123 0.500
Hg 0.623 0.877 0.500
Hg 0.877 0.377 0.500
Te 0.000 0.000 0.500
Te 0.500 0.500 0.500

--- Q ---
Material: La2Hg2Te
Method: DFT, GGA-PBE
State: relaxed

Cell: 9.329 9.329 9.329 Å, 154.04 154.04 37.04°
Fractional coordinates of all 5 atoms:
La 0.102 0.102 0.000
La 0.898 0.898 0.000
Hg 0.250 0.750 0.500
Hg 0.750 0.250 0.500
Te 0.500 0.500 0.000

--- R ---
Material: La2Hg2Te
Method: DFT, GGA-PBE
State: relaxed

Cell: 8.474 8.474 4.555 Å, 90.00 90.00 90.00°
Fractional coordinates of all 10 atoms:
La 0.164 0.336 0.000
La 0.336 0.836 0.000
La 0.664 0.164 0.000
La 0.836 0.664 0.000
Hg 0.134 0.634 0.500
Hg 0.366 0.134 0.500
Hg 0.634 0.866 0.500
Hg 0.866 0.366 0.500
Te 0.000 0.000 0.000
Te 0.500 0.500 0.000

The structure with the most favorable energy is R; the runner-up is 0.024 eV/atom above it.